1.
Material: RbMgSn3
Method: DFT, SCAN
State: PBEsol geometry

Lattice parameters (Å, degrees): 5.4995 5.4995 5.4995 90.00 90.00 90.00
With the nearest neighbours (Å) after each atom.
Positions (direct):
Rb: 0.0000 0.0000 0.0000  12 Sn 3.89
Mg: 0.5000 0.5000 0.5000  6 Sn 2.75
Sn: 0.0000 0.5000 0.5000  2 Mg 2.75
Sn: 0.5000 0.0000 0.5000  2 Mg 2.75
Sn: 0.5000 0.5000 0.0000  2 Mg 2.75

Properties
size of the total moment: 0.00 Bohr magnetons per cell
E_tot: -26.5603 eV per atom
DFT formation energy: 0.1350 eV/atom
symmetry: Pm-3m

2.
Material: RbMg2Sn2
Method: DFT, SCAN
State: PBEsol geometry

Lattice parameters (Å, degrees): 7.0295 7.0295 7.0295 138.94 138.94 59.46
With the nearest neighbours (Å) after each atom.
Positions (direct):
Rb: 0.0000 0.0000 0.0000  8 Sn 3.77, 8 Mg 3.92
Mg: 0.2500 0.7500 0.5000  4 Sn 2.95
Mg: 0.7500 0.2500 0.5000  4 Sn 2.95
Sn: 0.3829 0.3829 0.0000  1 Sn 2.86, 4 Mg 2.95
Sn: 0.6171 0.6171 0.0000  1 Sn 2.86, 4 Mg 2.95

Properties
size of the total moment: 0.00 Bohr magnetons per cell
E_tot: -20.7810 eV per atom
DFT formation energy: -0.2752 eV/atom
symmetry: I4/mmm

3.
Material: RbMg2TaTe
Method: DFT, SCAN
State: PBEsol geometry

Lattice parameters (Å, degrees): 5.6965 5.6965 5.2062 90.00 90.00 90.00
With the nearest neighbours (Å) after each atom.
Positions (direct):
Rb: 0.0000 0.0000 0.0000  8 Mg 3.86, 4 Ta 4.03
Mg: 0.0000 0.5000 0.5000  2 Te 2.85
Mg: 0.5000 0.0000 0.5000  2 Te 2.85
Ta: 0.5000 0.5000 0.0000  2 Te 2.60
Te: 0.5000 0.5000 0.5000  2 Ta 2.60, 4 Mg 2.85

Properties
size of the total moment: 2.69 Bohr magnetons per cell
E_tot: -25.9532 eV per atom
E_form (uncorrected): 0.951 eV per atom
symmetry: P4/mmm

4.
Material: Rb2MgTi
Method: DFT, SCAN
State: PBEsol geometry

Lattice parameters (Å, degrees): 7.8862 7.8862 7.8862 100.26 100.26 130.08
With the nearest neighbours (Å) after each atom.
Positions (direct):
Rb: 0.1209 0.6250 0.9959  2 Rb 3.33, 2 Mg 3.64, 2 Ti 3.70
Rb: 0.3750 0.3709 0.4959  2 Rb 3.33, 2 Mg 3.64, 2 Ti 3.70
Rb: 0.6291 0.1250 0.0041  2 Rb 3.33, 2 Mg 3.64, 2 Ti 3.70
Rb: 0.8750 0.8791 0.5041  2 Rb 3.33, 2 Mg 3.64, 2 Ti 3.70
Mg: 0.0000 0.0000 0.0000  2 Ti 3.33, 4 Rb 3.64
Mg: 0.7500 0.2500 0.5000  2 Ti 3.33, 4 Rb 3.64
Ti: 0.2500 0.7500 0.5000  2 Mg 3.33, 4 Rb 3.70
Ti: 0.5000 0.5000 0.0000  2 Mg 3.33, 4 Rb 3.70

Properties
size of the total moment: 7.22 Bohr magnetons per cell
E_tot: -14.6451 eV per atom
DFT formation energy: 0.9754 eV/atom
symmetry: I-42d

5.
Material: RbMg2Tl2
Method: DFT, SCAN
State: PBEsol geometry

Lattice parameters (Å, degrees): 9.4094 9.4094 3.2369 90.00 90.00 90.00
With the nearest neighbours (Å) after each atom.
Positions (direct):
Rb: 0.0000 0.0000 0.0000  2 Rb 3.24, 4 Tl 3.57
Rb: 0.5000 0.5000 0.0000  2 Rb 3.24, 4 Tl 3.57
Mg: 0.1349 0.3651 0.5000  6 Tl 3.16-3.25, 2 Mg 3.24
Mg: 0.3651 0.8651 0.5000  6 Tl 3.16-3.25, 2 Mg 3.24
Mg: 0.6349 0.1349 0.5000  6 Tl 3.16-3.25, 2 Mg 3.24
Mg: 0.8651 0.6349 0.5000  6 Tl 3.16-3.25, 2 Mg 3.24
Tl: 0.1531 0.6531 0.0000  6 Mg 3.16-3.25, 2 Tl 3.24
Tl: 0.3469 0.1531 0.0000  6 Mg 3.16-3.25, 2 Tl 3.24
Tl: 0.6531 0.8469 0.0000  6 Mg 3.16-3.25, 2 Tl 3.24
Tl: 0.8469 0.3469 0.0000  6 Mg 3.16-3.25, 2 Tl 3.24

Properties
size of the total moment: 0.00 Bohr magnetons per cell
E_tot: -35.2010 eV per atom
DFT formation energy: -0.1203 eV/atom
symmetry: P4/mbm

6.
Material: RbMg3Tl
Method: DFT, SCAN
State: PBEsol geometry

Lattice parameters (Å, degrees): 6.2748 6.2748 6.2748 90.00 90.00 90.00
With the nearest neighbours (Å) after each atom.
Positions (direct):
Rb: 0.0000 0.0000 0.0000  6 Mg 3.14
Mg: 0.0000 0.0000 0.5000  2 Rb 3.14
Mg: 0.0000 0.5000 0.0000  2 Rb 3.14
Mg: 0.5000 0.0000 0.0000  2 Rb 3.14
Tl: 0.5000 0.5000 0.5000  12 Mg 4.44

Properties
size of the total moment: 0.00 Bohr magnetons per cell
E_tot: -20.4843 eV per atom
DFT formation energy: 1.1194 eV/atom
symmetry: Pm-3m

7.
Material: RbMg2Tl2
Method: DFT, SCAN
State: PBEsol geometry

Lattice parameters (Å, degrees): 7.1746 7.1746 7.1746 139.22 139.22 59.04
With the nearest neighbours (Å) after each atom.
Positions (direct):
Rb: 0.0000 0.0000 0.0000  8 Tl 3.85, 8 Mg 4.00
Mg: 0.2500 0.7500 0.5000  4 Tl 2.97
Mg: 0.7500 0.2500 0.5000  4 Tl 2.97
Tl: 0.3788 0.3788 0.0000  4 Mg 2.97, 1 Tl 3.03
Tl: 0.6212 0.6212 0.0000  4 Mg 2.97, 1 Tl 3.03

Properties
size of the total moment: 0.00 Bohr magnetons per cell
E_tot: -35.2368 eV per atom
DFT formation energy: -0.1561 eV/atom
symmetry: I4/mmm

8.
Material: RbMgZr3
Method: DFT, SCAN
State: PBEsol geometry

Lattice parameters (Å, degrees): 5.0024 5.0024 5.0024 90.00 90.00 90.00
With the nearest neighbours (Å) after each atom.
Positions (direct):
Rb: 0.0000 0.0000 0.0000  6 Zr 2.50
Mg: 0.5000 0.5000 0.5000  12 Zr 3.54
Zr: 0.0000 0.0000 0.5000  2 Rb 2.50
Zr: 0.0000 0.5000 0.0000  2 Rb 2.50
Zr: 0.5000 0.0000 0.0000  2 Rb 2.50

Properties
size of the total moment: 1.98 Bohr magnetons per cell
E_tot: -21.6684 eV per atom
DFT formation energy: 1.8935 eV/atom
symmetry: Pm-3m

9.
Material: Mg2Re
Method: DFT, SCAN
State: PBEsol geometry

Lattice parameters (Å, degrees): 7.9909 7.9909 4.7456 90.00 90.00 160.88
With the nearest neighbours (Å) after each atom.
Positions (direct):
Mg: 0.0481 0.9519 0.7500  4 Mg 2.65-2.82, 6 Re 2.94-2.96
Mg: 0.2824 0.7176 0.2500  6 Mg 2.65-2.90, 4 Re 2.83-2.89
Mg: 0.7176 0.2824 0.7500  6 Mg 2.65-2.90, 4 Re 2.83-2.89
Mg: 0.9519 0.0481 0.2500  4 Mg 2.65-2.82, 6 Re 2.94-2.96
Re: 0.3805 0.6195 0.7500  2 Re 2.65, 10 Mg 2.83-2.96
Re: 0.6195 0.3805 0.2500  2 Re 2.65, 10 Mg 2.83-2.96

Properties
size of the total moment: 0.00 Bohr magnetons per cell
E_tot: -26.6863 eV per atom
DFT formation energy: 0.3287 eV/atom
symmetry: Cmcm

10.
Material: Mg3Re4
Method: DFT, SCAN
State: PBEsol geometry

Lattice parameters (Å, degrees): 12.2808 12.2808 12.2808 165.68 165.68 20.31
With the nearest neighbours (Å) after each atom.
Positions (direct):
Mg: 0.0000 0.0000 0.0000  8 Re 2.80, 4 Mg 3.06
Mg: 0.2949 0.2949 0.0000  4 Re 2.83, 8 Mg 3.06-3.07
Mg: 0.7051 0.7051 0.0000  4 Re 2.83, 8 Mg 3.06-3.07
Re: 0.1300 0.1300 0.0000  4 Re 2.56, 4 Mg 2.83
Re: 0.4267 0.4267 0.0000  4 Re 2.56, 4 Mg 2.80
Re: 0.5733 0.5733 0.0000  4 Re 2.56, 4 Mg 2.80
Re: 0.8700 0.8700 0.0000  4 Re 2.56, 4 Mg 2.83

Properties
size of the total moment: 0.00 Bohr magnetons per cell
E_tot: -42.7300 eV per atom
DFT formation energy: 0.0287 eV/atom
symmetry: I4/mmm

11.
Material: Mg2Re
Method: DFT, SCAN
State: PBEsol geometry

Lattice parameters (Å, degrees): 4.6494 4.6494 2.6329 90.00 90.00 120.00
With the nearest neighbours (Å) after each atom.
Positions (direct):
Mg: 0.3333 0.6667 0.3748  5 Mg 2.63-2.76, 3 Re 2.86
Mg: 0.6667 0.3333 0.6252  5 Mg 2.63-2.76, 3 Re 2.86
Re: 0.0000 0.0000 0.0000  2 Re 2.63, 6 Mg 2.86

Properties
size of the total moment: 0.00 Bohr magnetons per cell
E_tot: -26.7052 eV per atom
DFT formation energy: 0.3098 eV/atom
symmetry: P-3m1

12.
Material: Mg3Re
Method: DFT, SCAN
State: PBEsol geometry

Lattice parameters (Å, degrees): 2.9140 2.9140 9.7668 90.00 90.00 120.00
With the nearest neighbours (Å) after each atom.
Positions (direct):
Mg: 0.0000 0.0000 0.0000  12 Mg 2.91-3.13
Mg: 0.6667 0.3333 0.2699  3 Re 2.81, 9 Mg 2.91-3.13
Mg: 0.6667 0.3333 0.7301  3 Re 2.81, 9 Mg 2.91-3.13
Re: 0.0000 0.0000 0.5000  6 Mg 2.81, 6 Re 2.91

Properties
size of the total moment: 0.00 Bohr magnetons per cell
E_tot: -21.2204 eV per atom
DFT formation energy: 0.2843 eV/atom
symmetry: P-6m2